[1]
# IrRhPb PBE optimized geometry
# Density of states at the Fermi level in states/eV/f.u.: 5.66
# Theoretical density in g/cm3: 15.89
# Magnetic moment in μB/f.u.: 0.01
# E in eV/atom: -6.18
data_IrRhPb
_chemical_formula_sum 'Ir2 Rh2 Pb2'
_symmetry_space_group_name_H-M 'I m m 2'
_symmetry_Int_Tables_number 44
_cell_length_a 2.996
_cell_length_b 4.098
_cell_length_c 8.554
_cell_angle_alpha 90.00
_cell_angle_beta 90.00
_cell_angle_gamma 90.00
loop_
_symmetry_equiv_pos_as_xyz
'x,y,z'
'-x,-y,z'
'-x,y,z'
'x,-y,z'
'x+1/2,y+1/2,z+1/2'
'-x+1/2,-y+1/2,z+1/2'
'-x+1/2,y+1/2,z+1/2'
'x+1/2,-y+1/2,z+1/2'
loop_
_atom_site_label
_atom_site_type_symbol
_atom_site_fract_x
_atom_site_fract_y
_atom_site_fract_z
_atom_site_occupancy
Ir1 Ir 0.000 0.000 0.000 1
Rh1 Rh 0.000 0.000 0.652 1
Pb1 Pb 0.000 0.000 0.326 1

[2]
# Ir2Rh2Pb PBE optimized geometry
# Density of states at the Fermi level in states/eV/f.u.: 7.82
# Theoretical density in g/cm3: 15.55
# Magnetic moment in μB/f.u.: 0.00
# E in eV/atom: -6.90
data_Ir2Rh2Pb
_chemical_formula_sum 'Ir4 Rh4 Pb2'
_symmetry_space_group_name_H-M 'P 4/m b m'
_symmetry_Int_Tables_number 127
_symmetry_space_group_name_Hall '-P 4 2ab'
_cell_length_a 7.773
_cell_length_b 7.773
_cell_length_c 2.818
_cell_angle_alpha 90.00
_cell_angle_beta 90.00
_cell_angle_gamma 90.00
loop_
_atom_site_label
_atom_site_type_symbol
_atom_site_fract_x
_atom_site_fract_y
_atom_site_fract_z
_atom_site_occupancy
Ir1 Ir 0.119 0.381 0.000 1
Rh1 Rh 0.177 0.677 0.500 1
Pb1 Pb 0.000 0.000 0.000 1

[3]
# Ir2RhPb PBE optimized geometry
# Density of states at the Fermi level in states/eV/f.u.: 6.61
# Theoretical density in g/cm3: 16.78
# Magnetic moment in μB/f.u.: 0.00
# E in eV/atom: -6.78
data_Ir2RhPb
_chemical_formula_sum 'Ir2 Rh1 Pb1'
_symmetry_space_group_name_H-M 'P 4 m m'
_symmetry_Int_Tables_number 99
_cell_length_a 3.385
_cell_length_b 3.385
_cell_length_c 6.000
_cell_angle_alpha 90.00
_cell_angle_beta 90.00
_cell_angle_gamma 90.00
loop_
_symmetry_equiv_pos_as_xyz
'x,y,z'
'-y,x,z'
'-x,-y,z'
'y,-x,z'
'-x,y,z'
'y,x,z'
'x,-y,z'
'-y,-x,z'
loop_
_atom_site_label
_atom_site_type_symbol
_atom_site_fract_x
_atom_site_fract_y
_atom_site_fract_z
_atom_site_occupancy
Ir1 Ir 0.000 0.000 0.000 1
Ir2 Ir 0.500 0.500 0.198 1
Rh1 Rh 0.500 0.500 0.761 1
Pb1 Pb 0.000 0.000 0.496 1

[4]
# IrRu2RhPb PBE optimized geometry
# Density of states at the Fermi level in states/eV/f.u.: 6.50
# Theoretical density in g/cm3: 9.74
# Magnetic moment in μB/f.u.: 5.82
# E in eV/atom: -5.20
data_IrRu2RhPb
_chemical_formula_sum 'Ir1 Ru2 Rh1 Pb1'
_symmetry_space_group_name_H-M 'P 4/m m m'
_symmetry_Int_Tables_number 123
_symmetry_space_group_name_Hall '-P 4 2'
_cell_length_a 4.943
_cell_length_b 4.943
_cell_length_c 4.917
_cell_angle_alpha 90.00
_cell_angle_beta 90.00
_cell_angle_gamma 90.00
loop_
_atom_site_label
_atom_site_type_symbol
_atom_site_fract_x
_atom_site_fract_y
_atom_site_fract_z
_atom_site_occupancy
Ir1 Ir 0.000 0.000 0.000 1
Ru1 Ru 0.000 0.500 0.500 1
Rh1 Rh 0.500 0.500 0.000 1
Pb1 Pb 0.000 0.000 0.500 1

The evaluated calculated formation energy for the records listed, in turn: 0.4566 0.3255 0.4153 2.4979 eV per atom.